DFT (PBE) results for an optimized crystal structure of NbRhF2.

The structure in POSCAR format:
```
NbRhF2
1.0
1.596 0.000 9.966
-0.798 1.382 9.966
-0.798 -1.382 9.966
Rh Nb F
1 1 2
Direct
0.000 0.000 0.000
0.500 0.500 0.500
0.115 0.115 0.115
0.885 0.885 0.885
```

Calculated values
Uncorrected formation energy in eV/atom: -1.1441
Polymorph energy (0 for the lowest one) in meV/atom: 0
Crystal system: trigonal
Magnetic moment in μB/f.u.: 1.281
Volume in Å³/atom: 16.49

---

DFT (PBE) results for an optimized crystal structure of TlMoP2.

The structure in POSCAR format:
```
TlMoP2
1.0
5.428 0.000 0.000
2.664 4.730 0.000
-4.046 -2.365 2.739
P Tl Mo
2 1 1
Direct
0.000 0.000 0.000
0.250 0.750 0.500
0.500 0.500 0.000
0.750 0.250 0.500
```

Calculated values
Polymorph energy (0 for the lowest one) in meV/atom: 866
Crystal system: tetragonal
Formation energy in eV/f.u.: 3.11
Magnetic moment in μB/f.u.: 1.069
Volume in Å³/atom: 17.58

---

DFT (PBE) results for an optimized crystal structure of RbGaGeAu3.

The structure in POSCAR format:
```
RbGaGeAu3
1.0
7.119 0.000 0.000
0.000 6.874 0.000
0.000 -3.437 6.588
Au Ge Ga Rb
6 2 2 2
Direct
0.500 0.224 0.000
0.250 0.276 0.551
0.750 0.724 0.449
0.000 0.224 0.000
0.000 0.776 0.000
0.500 0.776 0.000
0.750 0.534 0.068
0.250 0.466 0.932
0.250 0.084 0.168
0.750 0.916 0.832
0.750 0.244 0.488
0.250 0.756 0.512
```

Calculated values
Crystal system: orthorhombic
Formation energy in eV/f.u.: -1.34
Magnetic moment in μB/f.u.: 0.000
Volume in Å³/atom: 26.86

---

DFT (PBE) results for an optimized crystal structure of Tl2SnAs2.

The structure in POSCAR format:
```
Tl2SnAs2
1.0
-3.830 2.167 -0.490
0.311 -0.444 -4.394
-5.314 -5.337 -2.067
Tl As Sn
2 2 1
Direct
0.750 0.250 0.500
0.250 0.750 0.500
0.415 0.415 0.170
0.585 0.585 0.830
0.000 0.000 0.000
```

Calculated values
Polymorph energy (0 for the lowest one) in meV/atom: 154
Crystal system: tetragonal
Formation energy in eV/f.u.: 0.90
Magnetic moment in μB/f.u.: 0.000
Volume in Å³/atom: 28.05

---

DFT (PBE) results for an optimized crystal structure of InAsP2.

The structure in POSCAR format:
```
InAsP2
1.0
-0.788 3.379 1.506
-0.114 -2.312 5.128
3.637 0.676 0.386
P In As
2 1 1
Direct
0.000 0.000 0.000
0.500 0.500 0.000
0.000 0.500 0.500
0.500 0.000 0.500
```

Calculated values
Polymorph energy (0 for the lowest one) in meV/atom: 453
Crystal system: orthorhombic
Formation energy in eV/f.u.: 2.06
Magnetic moment in μB/f.u.: 0.000
Volume in Å³/atom: 19.79

---

DFT (PBE) results for an optimized crystal structure of ReAg.

The structure in POSCAR format:
```
ReAg
1.0
2.115 -4.018 -1.903
4.073 -1.982 -1.928
4.379 -4.145 5.424
Ag Re
3 3
Direct
0.310 0.310 0.393
0.968 0.968 0.052
0.639 0.639 0.222
0.972 0.972 0.586
0.639 0.639 0.722
0.306 0.306 0.858
```

Calculated values
Polymorph energy (0 for the lowest one) in meV/atom: 187
Crystal system: monoclinic
Formation energy in eV/f.u.: 0.87
Magnetic moment in μB/f.u.: 0.000
Volume in Å³/atom: 16.45

---

DFT (PBE) results for an optimized crystal structure of Li2FeCuH6.

The structure in POSCAR format:
```
Li2FeCuH6
1.0
4.682 -0.011 -0.033
-2.345 4.017 -0.040
-2.359 -1.382 3.802
Li H Cu Fe
2 6 1 1
Direct
0.513 0.755 0.236
0.505 0.249 0.753
0.523 0.788 0.778
0.477 0.155 0.161
0.057 0.248 0.751
0.016 0.292 0.189
0.871 0.687 0.695
0.003 0.798 0.263
0.987 0.499 0.485
0.012 0.007 0.991
```

Calculated values
Energy in Ry/atom: -0.275
Crystal system: triclinic
Magnetic moment in μB/f.u.: 0.870
Volume in Å³/atom: 7.07